## DyCo3B3 (PBE)

Data for a relaxed structure of DyCo3B3.

Lattice parameters (Å, degrees): 5.4727 5.4727 5.4727 90.00 90.00 90.00
Closest atoms and distances in Å follow each position.
Element x y z (fractional)
B: 0.2500 0.0000 0.5000  4 Co 1.93
B: 0.0000 0.5000 0.2500  4 Co 1.93
B: 0.5000 0.7500 0.0000  4 Co 1.93
B: 0.7500 0.0000 0.5000  4 Co 1.93
B: 0.0000 0.5000 0.7500  4 Co 1.93
B: 0.5000 0.2500 0.0000  4 Co 1.93
Co: 0.0000 0.2500 0.5000  4 B 1.93
Co: 0.0000 0.7500 0.5000  4 B 1.93
Co: 0.5000 0.0000 0.7500  4 B 1.93
Co: 0.7500 0.5000 0.0000  4 B 1.93
Co: 0.5000 0.0000 0.2500  4 B 1.93
Co: 0.2500 0.5000 0.0000  4 B 1.93
Dy: 0.5000 0.5000 0.5000  12 Co 3.06, 12 B 3.06
Dy: 0.0000 0.0000 0.0000  12 Co 3.06, 12 B 3.06

## Properties
total moment	0.00	μB/atom
ΔE to the lowest computed polymorph	0	meV/atom
VASP energy	-94.56	eV per cell
space group	Pm-3n
crystal system	cubic
DFT formation energy	-0.19	eV/atom

***

## Dy4Co3B6 (PBE)

Data for a relaxed structure of Dy4Co3B6.

Lattice parameters (Å, degrees): 7.9316 7.9316 7.9316 39.07 39.07 39.07
Closest atoms and distances in Å follow each position.
Element x y z (fractional)
Dy: 0.7447 0.7447 0.7447  6 B 2.63
Dy: 0.2553 0.2553 0.2553  6 B 2.63
Dy: 0.5890 0.5890 0.5890  6 B 2.63
Dy: 0.4110 0.4110 0.4110  6 B 2.63
Co: 0.0000 0.0000 0.0000  2 Co 2.47
Co: 0.8873 0.8873 0.8873  6 B 2.13
Co: 0.1127 0.1127 0.1127  6 B 2.13
B: 0.8320 0.5000 0.1680  3 B 1.76-1.78
B: 0.1680 0.8320 0.5000  3 B 1.76-1.78
B: 0.5000 0.1680 0.8320  3 B 1.76-1.78
B: 0.8320 0.1680 0.5000  3 B 1.76-1.78
B: 0.5000 0.8320 0.1680  3 B 1.76-1.78
B: 0.1680 0.5000 0.8320  3 B 1.76-1.78

## Properties
total moment	0.22	μB/atom
VASP energy	-84.90	eV per cell
space group	R-3m
crystal system	trigonal
DFT formation energy	-0.39	eV/atom

***

What did the first record say?
## DyCo3B3 (PBE)

Data for a relaxed structure of DyCo3B3.

Lattice parameters (Å, degrees): 5.4727 5.4727 5.4727 90.00 90.00 90.00
Closest atoms and distances in Å follow each position.
Element x y z (fractional)
B: 0.2500 0.0000 0.5000  4 Co 1.93
B: 0.0000 0.5000 0.2500  4 Co 1.93
B: 0.5000 0.7500 0.0000  4 Co 1.93
B: 0.7500 0.0000 0.5000  4 Co 1.93
B: 0.0000 0.5000 0.7500  4 Co 1.93
B: 0.5000 0.2500 0.0000  4 Co 1.93
Co: 0.0000 0.2500 0.5000  4 B 1.93
Co: 0.0000 0.7500 0.5000  4 B 1.93
Co: 0.5000 0.0000 0.7500  4 B 1.93
Co: 0.7500 0.5000 0.0000  4 B 1.93
Co: 0.5000 0.0000 0.2500  4 B 1.93
Co: 0.2500 0.5000 0.0000  4 B 1.93
Dy: 0.5000 0.5000 0.5000  12 Co 3.06, 12 B 3.06
Dy: 0.0000 0.0000 0.0000  12 Co 3.06, 12 B 3.06

## Properties
total moment	0.00	μB/atom
ΔE to the lowest computed polymorph	0	meV/atom
VASP energy	-94.56	eV per cell
space group	Pm-3n
crystal system	cubic
DFT formation energy	-0.19	eV/atom